[1]
5
Lattice="4.858 0.000 0.000 0.000 4.858 0.000 0.000 0.000 4.478" Properties=species:S:1:pos:R:3 comment="meta-GGA SCAN CaHf2CrRe, single point on PBEsol structure" sg="P4/mmm, No. 123" ef_mev_per_atom=2311 m_tot_mub_per_fu=3.64 n_ef_per_ev_atom=1.063 pbc="T T T"
Ca 0.000 0.000 0.000
Hf 0.000 2.429 0.000
Hf 2.429 0.000 0.000
Cr 2.429 2.429 2.239
Re 0.000 0.000 2.239

=====

[2]
5
Lattice="6.004 0.000 0.000 0.000 6.004 0.000 0.000 0.000 5.789" Properties=species:S:1:pos:R:3 comment="meta-GGA SCAN Sr2CaHfCr, single point on PBEsol structure" sg="P4/mmm, No. 123" ef_mev_per_atom=1241 m_tot_mub_per_fu=2.81 n_ef_per_ev_atom=1.479 pbc="T T T"
Sr 0.000 3.002 0.000
Sr 3.002 0.000 0.000
Ca 0.000 0.000 2.895
Hf 0.000 0.000 0.000
Cr 3.002 3.002 2.895

=====

[3]
4
Lattice="3.556 0.000 0.000 0.000 3.556 0.000 0.000 0.000 6.659" Properties=species:S:1:pos:R:3 comment="meta-GGA SCAN CaCr2Hg, single point on PBEsol structure" sg="P4/mmm, No. 123" ef_mev_per_atom=262 m_tot_mub_per_fu=8.97 n_ef_per_ev_atom=0.692 pbc="T T T"
Ca 0.000 0.000 0.000
Cr 1.778 1.778 1.926
Cr 1.778 1.778 4.732
Hg 0.000 0.000 3.329

=====

[4]
4
Lattice="0.000 3.469 3.469 3.469 0.000 3.469 3.469 3.469 0.000" Properties=species:S:1:pos:R:3 comment="meta-GGA SCAN CaCrHg2, single point on PBEsol structure" sg="F-43m, No. 216" ef_mev_per_atom=-159 m_tot_mub_per_fu=4.34 n_ef_per_ev_atom=0.344 pbc="T T T"
Ca 0.000 0.000 0.000
Cr 1.735 1.735 1.735
Hg 3.469 3.469 3.469
Hg 5.204 5.204 5.204